# 1
DFT (GGA-PBE) results for a relaxed structure of CsTiMnTe6.

Output
Raw formation energy in eV/atom: -0.43

```
CsTiMnTe6
1.0
6.018 0.000 0.000
-1.408 5.854 0.000
-0.616 -0.731 9.596
Cs Ti Mn Te
1 1 1 6
Direct
0.000 0.000 0.000
0.115 0.886 0.500
0.424 0.577 0.500
0.082 0.556 0.298
0.133 0.303 0.658
0.408 0.202 0.333
0.446 0.917 0.702
0.696 0.868 0.342
0.801 0.592 0.667
```

# 2
DFT (GGA-PBE) results for a relaxed structure of BaMgGaHg.

Output
Energy relative to the elements in eV per atom: -0.281

```
BaMgGaHg
1.0
7.666 0.000 0.000
0.000 7.666 0.000
0.000 0.000 7.666
Ba Mg Ga Hg
4 4 4 4
Direct
0.000 0.000 0.000
0.000 0.500 0.500
0.500 0.000 0.500
0.500 0.500 0.000
0.000 0.000 0.500
0.000 0.500 0.000
0.500 0.000 0.000
0.500 0.500 0.500
0.250 0.250 0.750
0.250 0.750 0.250
0.750 0.250 0.250
0.750 0.750 0.750
0.250 0.250 0.250
0.250 0.750 0.750
0.750 0.250 0.750
0.750 0.750 0.250
```

# 3
DFT (GGA-PBE) results for a relaxed structure of Y2ZrFe.

Output
ΔE to the lowest computed polymorph in eV per atom: 0.320
Energy relative to the elements in eV per atom: 0.359

```
Y2ZrFe
1.0
6.738 0.000 0.000
0.000 8.466 0.000
0.000 0.000 3.380
Y Zr Fe
4 2 2
Direct
0.250 0.250 0.000
0.250 0.750 0.000
0.750 0.250 0.000
0.750 0.750 0.000
0.000 0.000 0.500
0.500 0.500 0.500
0.000 0.500 0.500
0.500 0.000 0.500
```

# 4
DFT (GGA-PBE) results for a relaxed structure of NdEr4Mg5.

Output
Energy relative to the elements in eV per atom: -0.073

```
NdEr4Mg5
1.0
3.778 0.000 0.000
0.000 3.778 0.000
0.000 0.000 19.050
Nd Er Mg
1 4 5
Direct
0.000 0.000 0.000
0.000 0.000 0.205
0.000 0.000 0.402
0.000 0.000 0.598
0.000 0.000 0.795
0.500 0.500 0.107
0.500 0.500 0.303
0.500 0.500 0.500
0.500 0.500 0.697
0.500 0.500 0.893
```

# 5
DFT (GGA-PBE) results for a relaxed structure of SiTcMo.

Output
ΔE to the lowest computed polymorph in eV per atom: 0.154
Raw formation energy in eV/atom: -0.22

```
SiTcMo
1.0
4.345 0.000 0.000
-2.172 3.762 0.000
0.000 0.000 5.199
Si Tc Mo
2 2 2
Direct
0.000 0.000 0.000
0.333 0.667 0.379
0.000 0.000 0.505
0.667 0.333 0.174
0.333 0.667 0.878
0.667 0.333 0.669
```

# 6
DFT (GGA-PBE) results for a relaxed structure of HfMg2Cd3.

Output
Energy relative to the elements in eV per atom: -0.070

```
HfMg2Cd3
1.0
3.232 0.000 0.000
0.000 3.232 0.000
0.000 0.000 12.164
Hf Mg Cd
1 2 3
Direct
0.000 0.000 0.000
0.000 0.000 0.334
0.000 0.000 0.666
0.500 0.500 0.170
0.500 0.500 0.500
0.500 0.500 0.830
```

# 7
DFT (GGA-PBE) results for a relaxed structure of PuMgAl.

Output
Energy relative to the elements in eV per atom: -0.039

```
PuMgAl
1.0
3.083 0.000 0.000
0.000 3.083 0.000
0.000 0.000 13.848
Pu Mg Al
2 2 2
Direct
0.000 0.000 0.000
0.500 0.500 0.500
0.000 0.000 0.311
0.500 0.500 0.811
0.000 0.000 0.662
0.500 0.500 0.162
```

# 8
DFT (GGA-PBE) results for a relaxed structure of CaBPd2Pt.

Output
Energy relative to the elements in eV per atom: -0.615

```
CaBPd2Pt
1.0
4.355 0.000 0.000
0.000 4.355 0.000
0.000 0.000 4.224
Ca B Pd Pt
1 1 2 1
Direct
0.000 0.000 0.000
0.500 0.500 0.500
0.000 0.500 0.500
0.500 0.000 0.500
0.500 0.500 0.000
```

# 9
DFT (GGA-PBE) results for a relaxed structure of CaAsPdSe2.

Output
ΔE to the lowest computed polymorph in eV per atom: 1.025
Raw formation energy in eV/atom: 0.61

```
CaAsPdSe2
1.0
5.317 0.000 0.000
0.000 5.317 0.000
0.000 0.000 5.382
Ca As Pd Se
1 1 1 2
Direct
0.000 0.000 0.000
0.000 0.000 0.500
0.500 0.500 0.500
0.000 0.500 0.000
0.500 0.000 0.000
```

# 10
DFT (GGA-PBE) results for a relaxed structure of HfNbRh4.

Output
Energy relative to the elements in eV per atom: -0.387

```
HfNbRh4
1.0
1.974 -13.418 0.000
1.974 13.418 0.000
0.000 0.000 3.889
Hf Nb Rh
2 2 8
Direct
0.068 0.932 0.000
0.932 0.068 0.000
0.295 0.705 0.500
0.705 0.295 0.500
0.000 0.000 0.500
0.140 0.860 0.500
0.213 0.787 0.000
0.360 0.640 0.000
0.500 0.500 0.000
0.640 0.360 0.000
0.787 0.213 0.000
0.860 0.140 0.500
```

# 11
DFT (GGA-PBE) results for a relaxed structure of PaCd2Pb.

Output
ΔE to the lowest computed polymorph in eV per atom: 0.000
Energy relative to the elements in eV per atom: 0.039

```
PaCd2Pb
1.0
4.554 0.000 0.000
0.000 4.554 0.000
0.000 0.000 4.941
Pa Cd Pb
1 2 1
Direct
0.000 0.000 0.000
0.000 0.500 0.500
0.500 0.000 0.500
0.500 0.500 0.000
```

# 12
DFT (GGA-PBE) results for a relaxed structure of CuAs.

Output
Energy relative to the elements in eV per atom: 0.296

```
CuAs
1.0
5.452 0.000 0.000
0.000 5.452 0.000
0.000 0.000 5.452
Cu As
4 4
Direct
0.000 0.000 0.000
0.000 0.500 0.500
0.500 0.000 0.500
0.500 0.500 0.000
0.250 0.250 0.250
0.250 0.750 0.750
0.750 0.250 0.750
0.750 0.750 0.250
```

# 13
DFT (GGA-PBE) results for a relaxed structure of BaTiS4.

Output
ΔE to the lowest computed polymorph in eV per atom: 0.028
Raw formation energy in eV/atom: -1.27

```
BaTiS4
1.0
6.184 -3.691 0.000
6.184 3.691 0.000
-0.925 0.000 6.901
Ba Ti S
2 2 8
Direct
0.206 0.206 0.227
0.794 0.794 0.773
0.424 0.424 0.783
0.576 0.576 0.217
0.194 0.643 0.518
0.248 0.248 0.789
0.271 0.729 0.000
0.357 0.806 0.482
0.643 0.194 0.518
0.729 0.271 0.000
0.752 0.752 0.211
0.806 0.357 0.482
```

# 14
DFT (GGA-PBE) results for a relaxed structure of InGe2PbS6.

Output
Raw formation energy in eV/atom: -0.28

```
InGe2PbS6
1.0
6.628 -5.854 0.000
6.628 5.854 0.000
-3.369 0.000 6.968
In Ge Pb S
2 4 2 12
Direct
0.210 0.790 0.750
0.790 0.210 0.250
0.245 0.372 0.313
0.372 0.245 0.813
0.628 0.755 0.187
0.755 0.628 0.687
0.139 0.861 0.250
0.861 0.139 0.750
0.051 0.177 0.160
0.112 0.606 0.419
0.177 0.051 0.660
0.301 0.426 0.054
0.394 0.888 0.081
0.426 0.301 0.554
0.574 0.699 0.446
0.606 0.112 0.919
0.699 0.574 0.946
0.823 0.949 0.340
0.888 0.394 0.581
0.949 0.823 0.840
```

# 15
DFT (GGA-PBE) results for a relaxed structure of Rb2NbSnGe.

Output
Energy relative to the elements in eV per atom: 0.868

```
Rb2NbSnGe
1.0
6.604 0.000 0.000
0.000 6.604 0.000
0.000 0.000 5.036
Rb Nb Sn Ge
2 1 1 1
Direct
0.000 0.500 0.000
0.500 0.000 0.000
0.000 0.000 0.500
0.500 0.500 0.500
0.000 0.000 0.000
```

# 16
DFT (GGA-PBE) results for a relaxed structure of Ca13Zn2.

Output
Energy relative to the elements in eV per atom: -0.032

```
Ca13Zn2
1.0
7.240 0.000 0.000
1.648 8.664 0.000
1.274 4.225 9.083
Ca Zn
13 2
Direct
0.000 0.000 0.000
0.036 0.196 0.342
0.176 0.662 0.360
0.237 0.572 0.020
0.290 0.356 0.756
0.450 0.078 0.143
0.486 0.772 0.574
0.514 0.228 0.426
0.550 0.922 0.857
0.710 0.644 0.244
0.763 0.428 0.980
0.824 0.338 0.640
0.964 0.804 0.658
0.195 0.065 0.670
0.805 0.935 0.330
```

# 17
DFT (GGA-PBE) results for a relaxed structure of SmCd2Ag.

Output
Energy relative to the elements in eV per atom: -0.300

```
SmCd2Ag
1.0
5.037 0.000 0.000
0.000 5.037 0.000
0.000 0.000 7.227
Sm Cd Ag
2 4 2
Direct
0.000 0.000 0.000
0.500 0.500 0.500
0.000 0.000 0.500
0.000 0.500 0.750
0.500 0.000 0.250
0.500 0.500 0.000
0.000 0.500 0.250
0.500 0.000 0.750
```

# 18
DFT (GGA-PBE) results for a relaxed structure of Tb3HgCCl.

Output
Raw formation energy in eV/atom: -0.66

```
Tb3HgCCl
1.0
8.882 0.000 0.000
0.000 3.706 0.000
-0.637 0.000 8.895
Tb Hg C Cl
6 2 2 2
Direct
0.084 0.250 0.346
0.354 0.750 0.558
0.384 0.750 0.177
0.616 0.250 0.823
0.646 0.250 0.442
0.916 0.750 0.654
0.268 0.250 0.828
0.732 0.750 0.172
0.362 0.250 0.359
0.638 0.750 0.641
0.087 0.750 0.121
0.913 0.250 0.879
```

# 19
DFT (GGA-PBE) results for a relaxed structure of ZrRu2Br.

Output
ΔE to the lowest computed polymorph in eV per atom: 0.196
Raw formation energy in eV/atom: 0.18

```
ZrRu2Br
1.0
9.673 0.000 0.000
0.000 3.145 0.000
-0.463 0.000 4.650
Zr Ru Br
2 4 2
Direct
0.000 0.000 0.000
0.500 0.500 0.000
0.223 0.500 0.219
0.277 0.000 0.781
0.723 0.000 0.219
0.777 0.500 0.781
0.000 0.500 0.500
0.500 0.000 0.500
```

# 20
DFT (GGA-PBE) results for a relaxed structure of InAg6Au5.

Output
Energy relative to the elements in eV per atom: -0.058

```
InAg6Au5
1.0
-2.068 4.301 6.162
2.068 -4.301 6.162
2.068 4.301 -6.162
In Ag Au
1 6 5
Direct
0.000 0.000 0.000
0.085 0.832 0.253
0.256 0.500 0.756
0.420 0.168 0.253
0.580 0.832 0.747
0.744 0.500 0.244
0.915 0.168 0.747
0.166 0.666 0.500
0.333 0.333 0.000
0.500 0.000 0.500
0.667 0.667 0.000
0.834 0.334 0.500
```

| no. | calculated volume (Å³/cell) |
| --- | --- |
| 1 | 338 |
| 2 | 450 |
| 3 | 193 |
| 4 | 272 |
| 5 | 85 |
| 6 | 127 |
| 7 | 132 |
| 8 | 80 |
| 9 | 152 |
| 10 | 206 |
| 11 | 102 |
| 12 | 162 |
| 13 | 315 |
| 14 | 541 |
| 15 | 220 |
| 16 | 570 |
| 17 | 183 |
| 18 | 293 |
| 19 | 141 |
| 20 | 219 |